Material: ZrAl2Re2
Method: DFT, PBE
State: optimized geometry

Unit cell a=6.0138 b=6.0138 c=6.0138 alpha=139.48 beta=139.48 gamma=58.65
With the nearest neighbours (Å) after each atom.
Fractional positions:
1 Zr 0.0000 0.0000 0.0000  8 Re 3.16, 8 Al 3.35
2 Al 0.2500 0.7500 0.5000  4 Re 2.56
3 Al 0.7500 0.2500 0.5000  4 Re 2.56
4 Re 0.3913 0.3913 0.0000  1 Re 2.28
5 Re 0.6087 0.6087 0.0000  1 Re 2.28

Summary:
Total magnetization, μB per formula unit: 0.00
Total DFT energy (no corrections), eV/f.u.: -40.1
Space group: I4/mmm, No. 139